Material: ScSi2AgHg
Method: DFT, GGA-PBE
State: optimized geometry

Cell: 4.7872 4.7872 5.2407 Å, 90.00 90.00 90.00°
Space group P4/mmm (No. 123)
Asymmetric unit:
1 Sc 0.0000 0.0000 0.0000 (multiplicity 1)
2 Si 0.0000 0.5000 0.5000 (multiplicity 2)
3 Ag 0.5000 0.5000 0.5000 (multiplicity 1)
4 Hg 0.5000 0.5000 0.0000 (multiplicity 1)

Values from the calculation:
- Crystal system: tetragonal
- Formation energy from raw total energies: 0.70 eV/atom
- D(E_F): 3.5 states/eV/cell